First-principles (GGA-PBE) data for a geometry-optimized LiTbZn2Au2 structure, as listed in the Alexandria database.

Structure (CIF):
```
data_LiTbZn2Au2
_symmetry_space_group_name_H-M 'P -3 m 1'
_symmetry_Int_Tables_number 164
_symmetry_space_group_name_Hall '-P 3 2"'
_cell_length_a 4.5164
_cell_length_b 4.5164
_cell_length_c 6.4007
_cell_angle_alpha 90.00
_cell_angle_beta 90.00
_cell_angle_gamma 120.00
loop_
_atom_site_label
_atom_site_fract_x
_atom_site_fract_y
_atom_site_fract_z
_atom_site_occupancy
Li1 0.0000 0.0000 0.0000 1
Tb1 0.0000 0.0000 0.5000 1
Zn1 0.3333 0.6667 0.8054 1
Au1 0.3333 0.6667 0.2342 1
```

## Properties
Calculated formation energy in eV per formula unit: -3.3

---

First-principles (GGA-PBE) data for a geometry-optimized La4GeSbBr2 structure, as listed in the Alexandria database.

Structure (CIF):
```
data_La4GeSbBr2
_symmetry_space_group_name_H-M 'P 1 2/m 1'
_symmetry_Int_Tables_number 10
_symmetry_space_group_name_Hall '-P 2y'
_cell_length_a 7.5864
_cell_length_b 4.4860
_cell_length_c 7.9106
_cell_angle_alpha 90.00
_cell_angle_beta 109.74
_cell_angle_gamma 90.00
loop_
_atom_site_label
_atom_site_fract_x
_atom_site_fract_y
_atom_site_fract_z
_atom_site_occupancy
La1 0.2273 0.0000 0.2257 1
La2 0.2375 0.5000 0.7648 1
Ge1 0.0000 0.5000 0.0000 1
Sb1 0.0000 0.0000 0.5000 1
Br1 0.5000 0.0000 0.0000 1
Br2 0.5000 0.5000 0.5000 1
```

## Properties
Formation energy from raw total energies in eV per atom: -1.29

---

First-principles (GGA-PBE) data for a geometry-optimized Mg5Cd2SnHg2 structure, as listed in the Alexandria database.

Structure (CIF):
```
data_Mg5Cd2SnHg2
_symmetry_space_group_name_H-M 'P 4/m b m'
_symmetry_Int_Tables_number 127
_symmetry_space_group_name_Hall '-P 4 2ab'
_cell_length_a 11.0198
_cell_length_b 11.0198
_cell_length_c 3.9386
_cell_angle_alpha 90.00
_cell_angle_beta 90.00
_cell_angle_gamma 90.00
loop_
_atom_site_label
_atom_site_fract_x
_atom_site_fract_y
_atom_site_fract_z
_atom_site_occupancy
Mg1 0.0000 0.5000 0.0000 1
Mg2 0.0651 0.1966 0.0000 1
Cd1 0.1697 0.6697 0.5000 1
Sn1 0.0000 0.0000 0.5000 1
Hg1 0.1324 0.3676 0.5000 1
```

## Properties
Calculated formation energy in eV per formula unit: -0.6

---

First-principles (GGA-PBE) data for a geometry-optimized MnInSi structure, as listed in the Alexandria database.

Structure (CIF):
```
data_MnInSi
_symmetry_space_group_name_H-M 'P 3 m 1'
_symmetry_Int_Tables_number 156
_symmetry_space_group_name_Hall 'P 3 -2"'
_cell_length_a 2.9914
_cell_length_b 2.9914
_cell_length_c 6.2597
_cell_angle_alpha 90.00
_cell_angle_beta 90.00
_cell_angle_gamma 120.00
loop_
_atom_site_label
_atom_site_fract_x
_atom_site_fract_y
_atom_site_fract_z
_atom_site_occupancy
Mn1 0.0000 0.0000 0.0000 1
In1 0.3333 0.6667 0.6535 1
Si1 0.6667 0.3333 0.2498 1
```

## Properties
Formation energy from raw total energies in eV per atom: 0.29

---

First-principles (GGA-PBE) data for a geometry-optimized KCu2Sb structure, as listed in the Alexandria database.

Structure (CIF):
```
data_KCu2Sb
_symmetry_space_group_name_H-M 'I -4 m 2'
_symmetry_Int_Tables_number 119
_symmetry_space_group_name_Hall 'I -4 -2'
_cell_length_a 4.4800
_cell_length_b 4.4800
_cell_length_c 8.6087
_cell_angle_alpha 90.00
_cell_angle_beta 90.00
_cell_angle_gamma 90.00
loop_
_atom_site_label
_atom_site_fract_x
_atom_site_fract_y
_atom_site_fract_z
_atom_site_occupancy
K1 0.0000 0.0000 0.0000 1
Cu1 0.0000 0.0000 0.5000 1
Cu2 0.0000 0.5000 0.2500 1
Sb1 0.0000 0.5000 0.7500 1
```

## Properties
Formation energy from raw total energies in eV per atom: 0.46

---

First-principles (GGA-PBE) data for a geometry-optimized AlSe3 structure, as listed in the Alexandria database.

Structure (CIF):
```
data_AlSe3
_symmetry_space_group_name_H-M 'C m m m'
_symmetry_Int_Tables_number 65
_symmetry_space_group_name_Hall '-C 2 2'
_cell_length_a 3.5264
_cell_length_b 5.2111
_cell_length_c 10.3837
_cell_angle_alpha 90.00
_cell_angle_beta 90.00
_cell_angle_gamma 90.00
loop_
_atom_site_label
_atom_site_fract_x
_atom_site_fract_y
_atom_site_fract_z
_atom_site_occupancy
Al1 0.0000 0.0000 0.0000 1
Se1 0.0000 0.0000 0.5000 1
Se2 0.0000 0.5000 0.1683 1
```

## Properties
Formation energy from raw total energies in eV per atom: 0.13
Energy above the most stable polymorph in this dataset in eV per atom: 0.412

---

First-principles (GGA-PBE) data for a geometry-optimized AcNd2YS4 structure, as listed in the Alexandria database.

Structure (CIF):
```
data_AcNd2YS4
_symmetry_space_group_name_H-M 'P 1 2/m 1'
_symmetry_Int_Tables_number 10
_symmetry_space_group_name_Hall '-P 2y'
_cell_length_a 7.0652
_cell_length_b 4.0515
_cell_length_c 7.1909
_cell_angle_alpha 90.00
_cell_angle_beta 108.90
_cell_angle_gamma 90.00
loop_
_atom_site_label
_atom_site_fract_x
_atom_site_fract_y
_atom_site_fract_z
_atom_site_occupancy
Ac1 0.0000 0.0000 0.0000 1
Nd1 0.5000 0.0000 0.5000 1
Nd2 0.5000 0.5000 0.0000 1
Y1 0.0000 0.5000 0.5000 1
S1 0.2436 0.0000 0.7343 1
S2 0.2544 0.5000 0.2658 1
```

## Properties
Formation energy from raw total energies in eV per atom: -1.99

---

First-principles (GGA-PBE) data for a geometry-optimized Np2Al4ZnAu3 structure, as listed in the Alexandria database.

Structure (CIF):
```
data_Np2Al4ZnAu3
_symmetry_space_group_name_H-M 'P -4 m 2'
_symmetry_Int_Tables_number 115
_symmetry_space_group_name_Hall 'P -4 -2'
_cell_length_a 4.2934
_cell_length_b 4.2934
_cell_length_c 10.7333
_cell_angle_alpha 90.00
_cell_angle_beta 90.00
_cell_angle_gamma 90.00
loop_
_atom_site_label
_atom_site_fract_x
_atom_site_fract_y
_atom_site_fract_z
_atom_site_occupancy
Np1 0.0000 0.5000 0.2450 1
Al1 0.0000 0.0000 0.5000 1
Al2 0.0000 0.5000 0.8650 1
Al3 0.5000 0.5000 0.5000 1
Zn1 0.5000 0.5000 0.0000 1
Au1 0.0000 0.0000 0.0000 1
Au2 0.0000 0.5000 0.6333 1
```

## Properties
Calculated formation energy in eV per formula unit: -2.7

---

First-principles (GGA-PBE) data for a geometry-optimized Mo12Ir5N3 structure, as listed in the Alexandria database.

Structure (CIF):
```
data_Mo12Ir5N3
_symmetry_space_group_name_H-M 'P -6 2 m'
_symmetry_Int_Tables_number 189
_symmetry_space_group_name_Hall 'P -6 -2'
_cell_length_a 11.0748
_cell_length_b 11.0748
_cell_length_c 2.8276
_cell_angle_alpha 90.00
_cell_angle_beta 90.00
_cell_angle_gamma 120.00
loop_
_atom_site_label
_atom_site_fract_x
_atom_site_fract_y
_atom_site_fract_z
_atom_site_occupancy
Mo1 0.0000 0.2260 0.0000 1
Mo2 0.0000 0.5182 0.0000 1
Mo3 0.2121 0.7751 0.5000 1
Ir1 0.0000 0.7671 0.0000 1
Ir2 0.3333 0.6667 0.0000 1
N1 0.0000 0.3708 0.5000 1
```

## Properties
Formation energy from raw total energies in eV per atom: 0.12

---

First-principles (GGA-PBE) data for a geometry-optimized YPuHf structure, as listed in the Alexandria database.

Structure (CIF):
```
data_YPuHf
_symmetry_space_group_name_H-M 'I 4 m m'
_symmetry_Int_Tables_number 107
_symmetry_space_group_name_Hall 'I 4 -2'
_cell_length_a 3.3192
_cell_length_b 3.3192
_cell_length_c 14.3976
_cell_angle_alpha 90.00
_cell_angle_beta 90.00
_cell_angle_gamma 90.00
loop_
_atom_site_label
_atom_site_fract_x
_atom_site_fract_y
_atom_site_fract_z
_atom_site_occupancy
Y1 0.0000 0.0000 0.0000 1
Pu1 0.0000 0.0000 0.3175 1
Hf1 0.0000 0.0000 0.6669 1
```

## Properties
Calculated formation energy in eV per formula unit: 0.5
Energy above the most stable polymorph in this dataset in eV per atom: 0.007

---

First-principles (GGA-PBE) data for a geometry-optimized K3CuTe structure, as listed in the Alexandria database.

Structure (CIF):
```
data_K3CuTe
_symmetry_space_group_name_H-M 'P m -3 m'
_symmetry_Int_Tables_number 221
_symmetry_space_group_name_Hall '-P 4 2 3'
_cell_length_a 6.6138
_cell_length_b 6.6138
_cell_length_c 6.6138
_cell_angle_alpha 90.00
_cell_angle_beta 90.00
_cell_angle_gamma 90.00
loop_
_atom_site_label
_atom_site_fract_x
_atom_site_fract_y
_atom_site_fract_z
_atom_site_occupancy
K1 0.0000 0.0000 0.5000 1
Cu1 0.5000 0.5000 0.5000 1
Te1 0.0000 0.0000 0.0000 1
```

## Properties
Formation energy from raw total energies in eV per atom: -0.24
Energy above the most stable polymorph in this dataset in eV per atom: 0.000

---

First-principles (GGA-PBE) data for a geometry-optimized Nd2PuInN structure, as listed in the Alexandria database.

Structure (CIF):
```
data_Nd2PuInN
_symmetry_space_group_name_H-M 'P 4/m m m'
_symmetry_Int_Tables_number 123
_symmetry_space_group_name_Hall '-P 4 2'
_cell_length_a 5.1085
_cell_length_b 5.1085
_cell_length_c 4.6941
_cell_angle_alpha 90.00
_cell_angle_beta 90.00
_cell_angle_gamma 90.00
loop_
_atom_site_label
_atom_site_fract_x
_atom_site_fract_y
_atom_site_fract_z
_atom_site_occupancy
Nd1 0.0000 0.5000 0.0000 1
Pu1 0.0000 0.0000 0.5000 1
In1 0.5000 0.5000 0.5000 1
N1 0.0000 0.0000 0.0000 1
```

## Properties
Formation energy from raw total energies in eV per atom: -0.75

---

For each record above, in turn, the calculated total DFT energy (no corrections) values are -3.157; -5.261; -1.503; -5.492; -2.896; -3.420; -6.563; -5.467; -9.840; -10.078; -2.343; -7.732 eV per atom.